{
  "formula": "LaTiAg",
  "functional": "PBE-GGA",
  "state": "optimized geometry",
  "cell": [[3.375, 0.002, 0.002], [-1.695, 6.430, -0.025], [-0.004, 1.797, 6.503]],
  "species": ["Ti", "Ti", "Ag", "Ag", "La", "La"],
  "frac_coords": [[0.341, 0.373, 0.940], [0.341, 0.373, 0.441], [0.960, 0.612, 0.631], [0.960, 0.612, 0.131], [0.657, 0.006, 0.782], [0.657, 0.006, 0.282]],
  "space_group": "I4mm (107)",
  "e_above_lowest_polymorph_mev_per_atom": 50.4
}

=====

{
  "formula": "LaTi2Ag",
  "functional": "PBE-GGA",
  "state": "optimized geometry",
  "cell": [[-1.796, 2.389, 3.789], [-4.743, -0.095, 0.885], [-1.697, -2.436, 3.805]],
  "species": ["Ti", "Ti", "Ag", "La"],
  "frac_coords": [[0.250, 0.250, 0.250], [0.750, 0.750, 0.750], [0.000, 0.000, 0.000], [0.500, 0.500, 0.500]],
  "space_group": "Fm-3m (225)",
  "e_above_lowest_polymorph_mev_per_atom": 0.0
}

=====

{
  "formula": "LaTiAg",
  "functional": "PBE-GGA",
  "state": "optimized geometry",
  "cell": [[-4.543, 1.506, -2.220], [-0.211, -5.155, 3.410], [3.705, 6.318, 2.765]],
  "species": ["Ti", "Ti", "Ag", "Ag", "La", "La"],
  "frac_coords": [[0.628, 0.545, 0.118], [0.080, 0.185, 0.618], [0.472, 0.996, 0.618], [0.236, 0.734, 0.118], [0.815, 0.590, 0.618], [0.893, 0.139, 0.118]],
  "space_group": "P-1 (2)",
  "e_above_lowest_polymorph_mev_per_atom": 73.2
}

=====

{
  "formula": "LaTiAg",
  "functional": "PBE-GGA",
  "state": "optimized geometry",
  "cell": [[-0.538, 3.393, -1.205], [-4.244, 2.535, 3.553], [4.504, 0.766, 5.644]],
  "species": ["Ti", "Ti", "Ag", "Ag", "La", "La"],
  "frac_coords": [[0.055, 0.322, 0.090], [0.669, 0.371, 0.367], [0.721, 0.597, 0.695], [0.311, 0.708, 0.987], [0.473, 0.139, 0.745], [0.912, 0.844, 0.324]],
  "space_group": "Cm (8)",
  "e_above_lowest_polymorph_mev_per_atom": 63.4
}

=====

{
  "formula": "LaTiAg",
  "functional": "PBE-GGA",
  "state": "optimized geometry",
  "cell": [[-2.803, 1.652, -0.768], [-3.401, -0.325, 4.433], [2.561, 7.957, 0.497]],
  "species": ["Ti", "Ti", "Ag", "Ag", "La", "La"],
  "frac_coords": [[0.071, 0.640, 0.159], [0.418, 0.655, 0.450], [0.620, 0.087, 0.614], [0.818, 0.562, 0.741], [0.959, 0.089, 0.933], [0.238, 0.157, 0.309]],
  "space_group": "Cm (8)",
  "e_above_lowest_polymorph_mev_per_atom": 145.2
}

=====

{
  "formula": "LaTiAg",
  "functional": "PBE-GGA",
  "state": "optimized geometry",
  "cell": [[-2.129, 5.118, -2.385], [-4.675, 0.724, 0.873], [3.637, 2.661, 4.012]],
  "species": ["Ti", "Ti", "Ag", "Ag", "La", "La"],
  "frac_coords": [[0.719, 0.413, 0.015], [0.065, 0.068, 0.669], [0.912, 0.547, 0.474], [0.524, 0.935, 0.862], [0.104, 0.741, 0.054], [0.501, 0.241, 0.451]],
  "space_group": "Imm2 (44)",
  "e_above_lowest_polymorph_mev_per_atom": 70.3
}

=====

{
  "formula": "LaZr2TiAg",
  "functional": "PBE-GGA",
  "state": "optimized geometry",
  "cell": [[5.258, 0.000, 0.000], [0.000, 4.984, 0.000], [0.000, 0.000, 5.258]],
  "species": ["Ti", "Zr", "Zr", "Ag", "La"],
  "frac_coords": [[0.000, 0.500, 0.000], [0.000, 0.000, 0.500], [0.500, 0.000, 0.000], [0.000, 0.000, 0.000], [0.500, 0.500, 0.500]],
  "space_group": "P4/mmm (123)"
}

=====

{
  "formula": "La4TlAg",
  "functional": "PBE-GGA",
  "state": "optimized geometry",
  "cell": [[-5.091, 3.277, 0.880], [0.532, -2.230, -8.634], [-1.462, -6.702, 5.242]],
  "species": ["La", "La", "La", "La", "La", "La", "La", "La", "Tl", "Tl", "Ag", "Ag"],
  "frac_coords": [[0.069, 0.216, 0.825], [0.762, 0.698, 0.611], [0.255, 0.608, 0.825], [0.349, 0.914, 0.611], [0.651, 0.086, 0.389], [0.745, 0.392, 0.175], [0.238, 0.302, 0.389], [0.931, 0.784, 0.175], [0.364, 0.614, 0.228], [0.636, 0.386, 0.772], [0.254, 0.004, 0.008], [0.746, 0.996, 0.992]],
  "space_group": "C2/c (15)",
  "e_above_lowest_polymorph_mev_per_atom": 6.0
}

=====

Number 1: energy relative to the elements 0.11 eV per atom. Number 2: energy relative to the elements 0.34 eV per atom. Number 3: energy relative to the elements 0.13 eV per atom. Number 4: energy relative to the elements 0.12 eV per atom. Number 5: energy relative to the elements 0.20 eV per atom. Number 6: energy relative to the elements 0.13 eV per atom. Number 7: energy relative to the elements 0.74 eV per atom. Number 8: energy relative to the elements -0.20 eV per atom.